# TmScHgAu (PBE, relaxed)
# * space-group type: P4mm, No. 99
# * ΔH_f (0 K): -646 meV/atom
# * energy above the most stable polymorph in this dataset: 0.0 meV per atom
data_TmScHgAu
_cell_length_a 3.559
_cell_length_b 3.559
_cell_length_c 6.994
_cell_angle_alpha 90.00
_cell_angle_beta 90.00
_cell_angle_gamma 90.00
_space_group_name_H-M_alt 'P 1'
_space_group_IT_number 1
loop_
_space_group_symop_operation_xyz
'x,y,z'
loop_
_atom_site_label
_atom_site_type_symbol
_atom_site_fract_x
_atom_site_fract_y
_atom_site_fract_z
Sc1 Sc 0.500 0.500 0.597
Au1 Au 0.000 0.000 0.371
Tm1 Tm 0.500 0.500 0.118
Hg1 Hg 0.000 0.000 0.842